The following is a PBE calculation of a relaxed Li2CuIO crystal, from Alexandria via LeMat-Bulk.

Unit cell a=4.4099 b=4.4099 c=3.9056 alpha=90.00 beta=90.00 gamma=90.00
With the nearest neighbours (Å) after each atom.
Space group P4/mmm (No. 123)
Inequivalent atoms, fractional coordinates:
Li1 0.0000 0.5000 0.0000 x2  2 O 2.20
Cu1 0.0000 0.0000 0.5000 x1  2 O 1.95
I1 0.5000 0.5000 0.5000 x1  8 Li 2.95, 4 Cu 3.12
O1 0.0000 0.0000 0.0000 x1  2 Cu 1.95

- E_form (uncorrected) (meV per atom) = -1023
- calculated total energy (eV per atom) = -3.91